An optimized crystal structure of CuHg2Pt. Source: Alexandria via LeMat-Bulk, functional GGA-PBEsol.

The structure belongs to space group Fm-3m (No. 225); the cell edges are 6.444, 6.444 and 6.444 Å and the angles 90.00°, 90.00° and 90.00°. The inequivalent atoms are Cu at (0.000, 0.000, 0.000), Hg at (0.250, 0.250, 0.250) and Pt at (0.000, 0.000, 0.500).

Its theoretical density is 16.4 g/cm3. The calculation puts the formation energy from the elements at 0.0745 eV/atom. The calculation puts the energy above the lowest structure with this stoichiometry at 0.010 eV per atom. For the density of states at the Fermi level, the calculation gives 1.0 states/eV/f.u. The calculation puts the total DFT energy (no corrections) at -3.033 eV per atom.